{
  "formula": "TbAg2Pd3",
  "functional": "PBE",
  "state": "optimized geometry",
  "cell": [[-4.315, 1.733, -0.535], [1.073, -4.197, -1.773], [-1.595, -2.467, 4.874]],
  "species": ["Ag", "Ag", "Pd", "Pd", "Pd", "Tb"],
  "fractional_positions": [[0.667, 0.333, 0.327], [0.333, 0.667, 0.673], [0.333, 0.667, 0.187], [0.667, 0.333, 0.813], [0.000, 0.000, 0.500], [0.000, 0.000, 0.000]],
  "crystal_system": "trigonal",
  "total_magnetization_mub_per_fu": 0.00,
  "polymorph_energy_mev_per_atom": 45,
  "formation_enthalpy_0k_ev_per_atom": -0.45
}